MgCrO4, relaxed, DFT GGA+U; calculated density = 3.01 Mg/m³; relative energy among the computed polymorphs = 0.06 eV/f.u.; E = -6.56 eV per atom; space group = C2/m, No. 12
1.0
5.033 -4.633 0.000
5.033 4.633 0.000
-1.619 0.000 6.643
Mg Cr O
4 4 16
Direct
0.181 0.819 0.000
0.205 0.205 0.365
0.795 0.795 0.635
0.819 0.181 0.000
0.255 0.745 0.500
0.276 0.276 0.912
0.724 0.724 0.088
0.745 0.255 0.500
0.111 0.799 0.683
0.143 0.143 0.038
0.201 0.889 0.317
0.214 0.214 0.667
0.217 0.512 0.978
0.221 0.513 0.396
0.487 0.779 0.604
0.488 0.783 0.022
0.512 0.217 0.978
0.513 0.221 0.396
0.779 0.487 0.604
0.783 0.488 0.022
0.786 0.786 0.333
0.799 0.111 0.683
0.857 0.857 0.962
0.889 0.201 0.317